Entry 1:
This record from Alexandria via LeMat-Bulk describes crystalline Cs3RbCd2F8 at its relaxed geometry. The functional is PBE.

## Properties
* uncorrected formation energy: -2440 meV/atom

Cell lengths 6.8662, 6.8662, 8.7138 Å; angles 90.00, 90.00, 120.00 degrees
Last column: nearest neighbours and their distance in Å.
Fractional positions:
1 Cs 0.3333 0.6667 0.6305  1 F 2.73
2 Cs 0.6667 0.3333 0.3695  1 F 2.73
3 Cs 0.0000 0.0000 0.0000  6 F 3.32
4 Rb 0.0000 0.0000 0.5000  6 F 2.70
5 Cd 0.3333 0.6667 0.1846  4 F 2.10-2.15
6 Cd 0.6667 0.3333 0.8154  4 F 2.10-2.15
7 F 0.3333 0.6667 0.9439  1 Cd 2.10
8 F 0.6667 0.3333 0.0561  1 Cd 2.10
9 F 0.1730 0.8270 0.2996  1 Cd 2.15
10 F 0.8270 0.1730 0.7004  1 Cd 2.15
11 F 0.1730 0.3460 0.2996  1 Cd 2.15
12 F 0.8270 0.6540 0.7004  1 Cd 2.15
13 F 0.6540 0.8270 0.2996  1 Cd 2.15
14 F 0.3460 0.1730 0.7004  1 Cd 2.15

Entry 2:
This record from Alexandria via LeMat-Bulk describes crystalline Ta5VRu4 at its relaxed geometry. The functional is PBE.

## Properties
* energy relative to the elements: -3.02 eV/f.u.

Cell lengths 3.1862, 3.1862, 15.7354 Å; angles 90.00, 90.00, 90.00 degrees
Last column: nearest neighbours and their distance in Å.
Fractional positions:
1 Ta 0.5000 0.5000 0.0962  4 V 2.71, 4 Ru 2.81, 1 Ta 3.03
2 Ta 0.5000 0.5000 0.2993  8 Ru 2.71-2.76
3 Ta 0.5000 0.5000 0.5000  8 Ru 2.74
4 Ta 0.5000 0.5000 0.7007  8 Ru 2.71-2.76
5 Ta 0.5000 0.5000 0.9038  4 V 2.71, 4 Ru 2.81, 1 Ta 3.03
6 V 0.0000 0.0000 0.0000  8 Ta 2.71
7 Ru 0.0000 0.0000 0.2032  8 Ta 2.71-2.81
8 Ru 0.0000 0.0000 0.4004  8 Ta 2.74-2.76
9 Ru 0.0000 0.0000 0.5996  8 Ta 2.74-2.76
10 Ru 0.0000 0.0000 0.7968  8 Ta 2.71-2.81

Entry 3:
This record from Alexandria via LeMat-Bulk describes crystalline Be2CrSi at its relaxed geometry. The functional is PBE.

## Properties
* uncorrected formation energy: -120 meV/atom

Cell lengths 3.4569, 3.4569, 3.3913 Å; angles 90.00, 90.00, 90.00 degrees
Last column: nearest neighbours and their distance in Å.
Fractional positions:
1 Cr 0.5000 0.0000 0.5000  8 Be 2.42, 4 Si 2.44
2 Si 0.0000 0.5000 0.5000  8 Be 2.42, 4 Cr 2.44
3 Be 0.0000 0.0000 0.0000  4 Cr 2.42, 4 Si 2.42, 4 Be 2.44
4 Be 0.5000 0.5000 0.0000  4 Cr 2.42, 4 Si 2.42, 4 Be 2.44